PBE TbDy3Cd, optimized geometry; formation enthalpy at 0 K = -0.0633 eV/atom
1.0
6.546 0.000 0.000
0.000 5.438 0.000
-2.050 0.000 8.264
Tb Dy Cd
2 6 2
direct
0.118 0.250 0.067
0.882 0.750 0.933
0.043 0.750 0.354
0.383 0.250 0.435
0.458 0.750 0.147
0.542 0.250 0.853
0.617 0.750 0.565
0.957 0.250 0.646
0.251 0.750 0.750
0.749 0.250 0.250


PBE In12Ni3H5, optimized geometry; E = -250.147 eV for the cell shown
1.0
-7.209 7.209 7.209
7.209 -7.209 7.209
7.209 7.209 -7.209
In Ni H
48 12 20
direct
0.035 0.218 0.122
0.035 0.317 0.913
0.087 0.622 0.404
0.087 0.965 0.683
0.096 0.718 0.683
0.096 0.878 0.413
0.122 0.035 0.218
0.122 0.587 0.904
0.183 0.218 0.596
0.183 0.465 0.587
0.218 0.122 0.035
0.218 0.596 0.183
0.282 0.317 0.904
0.282 0.465 0.378
0.317 0.904 0.282
0.317 0.913 0.035
0.378 0.282 0.465
0.378 0.596 0.913
0.404 0.087 0.622
0.404 0.817 0.782
0.413 0.096 0.878
0.413 0.817 0.535
0.465 0.378 0.282
0.465 0.587 0.183
0.535 0.413 0.817
0.535 0.622 0.718
0.587 0.183 0.465
0.587 0.904 0.122
0.596 0.183 0.218
0.596 0.913 0.378
0.622 0.404 0.087
0.622 0.718 0.535
0.683 0.087 0.965
0.683 0.096 0.718
0.718 0.535 0.622
0.718 0.683 0.096
0.782 0.404 0.817
0.782 0.878 0.965
0.817 0.535 0.413
0.817 0.782 0.404
0.878 0.413 0.096
0.878 0.965 0.782
0.904 0.122 0.587
0.904 0.282 0.317
0.913 0.035 0.317
0.913 0.378 0.596
0.965 0.683 0.087
0.965 0.782 0.878
0.125 0.250 0.375
0.125 0.375 0.750
0.250 0.375 0.125
0.250 0.875 0.625
0.375 0.125 0.250
0.375 0.750 0.125
0.625 0.250 0.875
0.625 0.875 0.750
0.750 0.125 0.375
0.750 0.625 0.875
0.875 0.625 0.250
0.875 0.750 0.625
0.000 0.000 0.000
0.000 0.000 0.500
0.000 0.500 0.000
0.000 0.500 0.500
0.125 0.750 0.875
0.125 0.875 0.250
0.250 0.125 0.875
0.250 0.625 0.375
0.375 0.250 0.625
0.375 0.625 0.750
0.500 0.000 0.000
0.500 0.000 0.500
0.500 0.500 0.000
0.500 0.500 0.500
0.625 0.375 0.250
0.625 0.750 0.375
0.750 0.375 0.625
0.750 0.875 0.125
0.875 0.125 0.750
0.875 0.250 0.125


PBE NaLaZn2Au2, optimized geometry; formation enthalpy at 0 K = -0.4738 eV/atom
1.0
4.634 0.000 0.000
-2.317 4.013 0.000
0.000 0.000 6.967
Na La Zn Au
1 1 2 2
direct
0.000 0.000 0.000
0.000 0.000 0.500
0.333 0.667 0.797
0.667 0.333 0.203
0.333 0.667 0.231
0.667 0.333 0.769


PBE Dy3Cu2SiNi9, optimized geometry; formation energy (no corrections) = -27 meV/atom
1.0
5.875 0.000 0.000
-2.937 5.088 0.000
0.000 0.000 8.301
Dy Cu Si Ni
3 2 1 9
direct
0.000 0.000 0.000
0.333 0.667 0.692
0.667 0.333 0.308
0.333 0.667 0.192
0.667 0.333 0.808
0.000 0.000 0.500
0.000 0.500 0.000
0.135 0.271 0.293
0.135 0.865 0.293
0.271 0.135 0.707
0.500 0.000 0.000
0.500 0.500 0.000
0.729 0.865 0.293
0.865 0.135 0.707
0.865 0.729 0.707


PBE BeCd2GaAu6, optimized geometry; formation enthalpy at 0 K = 0.1388 eV/atom
1.0
0.000 4.691 4.691
4.691 0.000 4.691
4.691 4.691 0.000
Be Cd Ga Au
1 2 1 6
direct
0.000 0.000 0.000
0.250 0.250 0.250
0.750 0.750 0.750
0.500 0.500 0.500
0.236 0.236 0.764
0.236 0.764 0.236
0.236 0.764 0.764
0.764 0.236 0.236
0.764 0.236 0.764
0.764 0.764 0.236


PBE CrPdPt, optimized geometry; formation enthalpy at 0 K = -0.0331 eV/atom
1.0
1.396 -9.220 0.000
1.396 9.220 0.000
0.000 0.000 3.565
Cr Pd Pt
2 2 2
direct
0.127 0.873 0.750
0.873 0.127 0.250
0.294 0.706 0.750
0.706 0.294 0.250
0.445 0.555 0.750
0.555 0.445 0.250


PBE Pm7Nd2Sm3, optimized geometry; formation enthalpy at 0 K = 0.0833 eV/atom
1.0
5.961 0.000 0.000
0.000 3.642 0.000
-1.091 0.000 19.202
Pm Nd Sm
7 2 3
direct
0.000 0.000 0.000
0.183 0.500 0.177
0.258 0.500 0.537
0.319 0.000 0.857
0.681 0.000 0.143
0.742 0.500 0.463
0.817 0.500 0.823
0.294 0.500 0.705
0.706 0.500 0.295
0.217 0.000 0.368
0.500 0.500 0.000
0.783 0.000 0.632


PBE Ca2ScAu2, optimized geometry; formation enthalpy at 0 K = -0.6424 eV/atom
1.0
7.562 0.000 0.000
0.000 7.562 0.000
0.000 0.000 4.425
Ca Sc Au
4 2 4
direct
0.166 0.334 0.000
0.334 0.834 0.000
0.666 0.166 0.000
0.834 0.666 0.000
0.000 0.000 0.500
0.500 0.500 0.500
0.139 0.639 0.500
0.361 0.139 0.500
0.639 0.861 0.500
0.861 0.361 0.500


PBE PmTmInAu, optimized geometry; formation enthalpy at 0 K = -0.5897 eV/atom
1.0
0.000 3.720 3.720
3.720 0.000 3.720
3.720 3.720 0.000
Pm Tm In Au
1 1 1 1
direct
0.000 0.000 0.000
0.500 0.500 0.500
0.750 0.750 0.750
0.250 0.250 0.250


PBE SrLa2Be, optimized geometry; formation enthalpy at 0 K = 0.4401 eV/atom
1.0
5.024 0.000 0.000
0.000 5.024 0.000
0.000 0.000 4.977
Sr La Be
1 2 1
direct
0.000 0.000 0.000
0.000 0.500 0.500
0.500 0.000 0.500
0.500 0.500 0.000


PBE TcNi2, optimized geometry; formation enthalpy at 0 K = 0.0973 eV/atom
1.0
-1.521 1.521 3.920
1.521 -1.521 3.920
1.521 1.521 -3.920
Tc Ni
1 2
direct
0.000 0.000 0.000
0.327 0.327 0.000
0.673 0.673 0.000